Entry A
# RbTiTl2 (PBE, optimized geometry)
# N(E_F) in states/eV/cell: 44.988
data_RbTiTl2
_symmetry_space_group_name_H-M 'F m -3 m'
_symmetry_Int_Tables_number 225
_symmetry_space_group_name_Hall '-F 4 2 3'
_cell_length_a 7.7863
_cell_length_b 7.7863
_cell_length_c 7.7863
_cell_angle_alpha 90.00
_cell_angle_beta 90.00
_cell_angle_gamma 90.00
loop_
_atom_site_label
_atom_site_type_symbol
_atom_site_fract_x
_atom_site_fract_y
_atom_site_fract_z
Rb1 Rb 0.0000 0.0000 0.0000
Ti1 Ti 0.0000 0.0000 0.5000
Tl1 Tl 0.2500 0.2500 0.2500

---

Entry B
# RbTiTl2 (PBE, optimized geometry)
# N(E_F) in states/eV/cell: 26.949
data_RbTiTl2
_symmetry_space_group_name_H-M 'I -4 2 d'
_symmetry_Int_Tables_number 122
_symmetry_space_group_name_Hall 'I -4 2bw'
_cell_length_a 6.2426
_cell_length_b 6.2426
_cell_length_c 18.6382
_cell_angle_alpha 90.00
_cell_angle_beta 90.00
_cell_angle_gamma 90.00
loop_
_atom_site_label
_atom_site_type_symbol
_atom_site_fract_x
_atom_site_fract_y
_atom_site_fract_z
Rb1 Rb 0.0000 0.0000 0.0000
Ti1 Ti 0.0000 0.0000 0.5000
Tl1 Tl 0.0313 0.2500 0.6250

---

Which one sits at the bottom of the stability order? entry A does.

---

Entry A
# RbTiV2 (PBE, optimized geometry)
# N(E_F) in states/eV/cell: 27.996
data_RbTiV2
_symmetry_space_group_name_H-M 'I 41/a m d'
_symmetry_Int_Tables_number 141
_cell_length_a 5.0643
_cell_length_b 5.0643
_cell_length_c 18.0880
_cell_angle_alpha 90.00
_cell_angle_beta 90.00
_cell_angle_gamma 90.00
loop_
_symmetry_equiv_pos_as_xyz
'x,y,z'
'-x,-y,-z'
'-y+1/4,x+3/4,z+1/4'
'y+1/4,-x+3/4,-z+1/4'
'-x+1/2,-y,z+1/2'
'x+1/2,y,-z+1/2'
'y+1/4,-x+1/4,z+3/4'
'-y+1/4,x+1/4,-z+3/4'
'x,-y,-z'
'-x,y,z'
'-y+1/4,-x+1/4,-z+3/4'
'y+1/4,x+1/4,z+3/4'
'-x+1/2,y,-z+1/2'
'x+1/2,-y,z+1/2'
'y+1/4,x+3/4,-z+1/4'
'-y+1/4,-x+3/4,z+1/4'
'x+1/2,y+1/2,z+1/2'
'-x+1/2,-y+1/2,-z+1/2'
'-y+3/4,x+1/4,z+3/4'
'y+3/4,-x+1/4,-z+3/4'
'-x,-y+1/2,z'
'x,y+1/2,-z'
'y+3/4,-x+3/4,z+1/4'
'-y+3/4,x+3/4,-z+1/4'
'x+1/2,-y+1/2,-z+1/2'
'-x+1/2,y+1/2,z+1/2'
'-y+3/4,-x+3/4,-z+1/4'
'y+3/4,x+3/4,z+1/4'
'-x,y+1/2,-z'
'x,-y+1/2,z'
'y+3/4,x+1/4,-z+3/4'
'-y+3/4,-x+1/4,z+3/4'
loop_
_atom_site_label
_atom_site_type_symbol
_atom_site_fract_x
_atom_site_fract_y
_atom_site_fract_z
Rb1 Rb 0.0000 0.2500 0.3750
Ti1 Ti 0.0000 0.2500 0.8750
V1 V 0.0000 0.0000 0.0000

---

Entry B
# RbTiV2 (PBE, optimized geometry)
# N(E_F) in states/eV/cell: 36.826
data_RbTiV2
_symmetry_space_group_name_H-M 'F m -3 m'
_symmetry_Int_Tables_number 225
_symmetry_space_group_name_Hall '-F 4 2 3'
_cell_length_a 6.9866
_cell_length_b 6.9866
_cell_length_c 6.9866
_cell_angle_alpha 90.00
_cell_angle_beta 90.00
_cell_angle_gamma 90.00
loop_
_atom_site_label
_atom_site_type_symbol
_atom_site_fract_x
_atom_site_fract_y
_atom_site_fract_z
Rb1 Rb 0.0000 0.0000 0.0000
Ti1 Ti 0.0000 0.0000 0.5000
V1 V 0.2500 0.2500 0.2500

---

Which one sits at the bottom of the stability order? entry A does.

---

Entry A
# RbTi2W2 (PBE, optimized geometry)
# N(E_F) in states/eV/cell: 14.426
data_RbTi2W2
_symmetry_space_group_name_H-M 'I 4/m m m'
_symmetry_Int_Tables_number 139
_symmetry_space_group_name_Hall '-I 4 2'
_cell_length_a 3.8678
_cell_length_b 3.8678
_cell_length_c 18.5813
_cell_angle_alpha 90.00
_cell_angle_beta 90.00
_cell_angle_gamma 90.00
loop_
_atom_site_label
_atom_site_type_symbol
_atom_site_fract_x
_atom_site_fract_y
_atom_site_fract_z
Rb1 Rb 0.0000 0.0000 0.0000
Ti1 Ti 0.0000 0.0000 0.3478
W1 W 0.0000 0.5000 0.2500

---

Entry B
# RbTi2W2 (PBE, optimized geometry)
# N(E_F) in states/eV/cell: 12.471
data_RbTi2W2
_symmetry_space_group_name_H-M 'P 4/m b m'
_symmetry_Int_Tables_number 127
_symmetry_space_group_name_Hall '-P 4 2ab'
_cell_length_a 8.7407
_cell_length_b 8.7407
_cell_length_c 2.7874
_cell_angle_alpha 90.00
_cell_angle_beta 90.00
_cell_angle_gamma 90.00
loop_
_atom_site_label
_atom_site_type_symbol
_atom_site_fract_x
_atom_site_fract_y
_atom_site_fract_z
Rb1 Rb 0.0000 0.0000 0.0000
Ti1 Ti 0.1368 0.3632 0.0000
W1 W 0.1311 0.6311 0.5000

---

Which one sits at the bottom of the stability order? entry A does.